1.
BeAlCu2 (PBE-GGA, optimized geometry); final energy = -3.93 eV/atom; V = 11.96 Å³/atom
1.0
-0.587 -2.286 -1.214
1.723 -2.018 0.065
-2.961 -4.074 6.201
Cu Al Be
2 1 1
Direct
0.090 0.090 0.729
0.243 0.243 0.271
0.666 0.666 0.001
0.500 0.500 0.499

=====

2.
Be6AlCu6 (PBE-GGA, optimized geometry); final energy = -4.01 eV/atom; V = 10.26 Å³/atom
1.0
-1.293 1.285 -4.005
-4.996 -2.717 -1.677
-3.506 4.775 0.246
Cu Be Al
6 6 1
Direct
0.342 0.658 0.658
0.658 0.342 0.342
0.318 0.182 0.182
0.682 0.818 0.818
0.000 0.346 0.654
0.000 0.654 0.346
0.500 0.500 0.000
0.500 0.237 0.763
0.000 0.000 0.500
0.500 0.000 0.500
0.000 0.500 0.000
0.500 0.763 0.237
0.000 0.000 0.000

=====

3.
BeAlCu2 (PBE-GGA, optimized geometry); final energy = -3.99 eV/atom; V = 11.73 Å³/atom
1.0
-1.165 1.569 -2.224
2.115 -1.001 -1.814
-3.099 -4.164 -1.315
Be Cu Al
1 2 1
Direct
0.500 0.500 0.781
0.500 0.500 0.245
0.000 0.000 0.972
0.000 0.000 0.502

=====

Question: Among the records above, which one has the highest final energy?
Answer: number 1

=====

Question: What is the V in the third record?
Answer: 11.73 Å³/atom